# 1
Crystalline Sr2Zn5Ag3 at its relaxed geometry. Source: Alexandria, functional PBE-GGA.

Computed properties:
Energy relative to the lowest polymorph listed for this composition (eV/atom): 0.019

Cell: 4.5371 4.5371 10.7692 Å, 90.00 90.00 90.00°
With the nearest neighbours (Å) after each atom.
Fractional positions:
Sr 0.0000 0.5000 0.2462  6 Ag 3.41-3.55, 10 Zn 3.49-3.55
Sr 0.5000 0.0000 0.7538  6 Ag 3.41-3.55, 10 Zn 3.49-3.55
Zn 0.0000 0.0000 0.0000  4 Zn 2.57
Zn 0.0000 0.0000 0.5000  4 Ag 2.75
Zn 0.0000 0.5000 0.8869  4 Zn 2.57, 1 Ag 2.60
Zn 0.5000 0.0000 0.1131  4 Zn 2.57, 1 Ag 2.60
Zn 0.5000 0.5000 0.0000  4 Zn 2.57
Ag 0.0000 0.5000 0.6451  3 Zn 2.60-2.75, 2 Ag 2.75
Ag 0.5000 0.0000 0.3549  3 Zn 2.60-2.75, 2 Ag 2.75
Ag 0.5000 0.5000 0.5000  4 Ag 2.75

***

# 2
Crystalline Sr2Zn3Ag at its relaxed geometry. Source: Alexandria, functional PBE-GGA.

Cell: 9.1453 9.0132 6.3157 Å, 70.77 68.53 40.70°
With the nearest neighbours (Å) after each atom.
Fractional positions:
Sr 0.2442 0.7558 0.7558  2 Ag 3.38, 10 Zn 3.40-3.42
Sr 0.2500 0.2500 0.2500  4 Ag 3.42, 8 Zn 3.42-3.44
Sr 0.7500 0.7500 0.7500  4 Ag 3.42, 8 Zn 3.42-3.44
Sr 0.7558 0.2442 0.2442  2 Ag 3.38, 10 Zn 3.40-3.42
Zn 0.1720 0.6633 0.3367  2 Zn 2.60, 1 Ag 2.69
Zn 0.3368 0.3368 0.6632  2 Zn 2.60, 1 Ag 2.68
Zn 0.3367 0.8280 0.1720  2 Zn 2.60, 1 Ag 2.69
Zn 0.6633 0.1720 0.8280  2 Zn 2.60, 1 Ag 2.69
Zn 0.6632 0.6632 0.3368  2 Zn 2.60, 1 Ag 2.68
Zn 0.8280 0.3367 0.6633  2 Zn 2.60, 1 Ag 2.69
Ag 0.1670 0.1670 0.8330  3 Zn 2.68-2.69
Ag 0.8330 0.8330 0.1670  3 Zn 2.68-2.69

***

# 3
Crystalline SrZnAg4 at its relaxed geometry. Source: Alexandria, functional PBE-GGA.

Computed properties:
Energy relative to the lowest polymorph listed for this composition (eV/atom): 0.034

Cell: 5.6787 5.6787 5.6787 Å, 60.00 60.00 60.00°
With the nearest neighbours (Å) after each atom.
Fractional positions:
Sr 0.0000 0.0000 0.0000  12 Ag 3.33, 4 Zn 3.48
Zn 0.7500 0.7500 0.7500  12 Ag 3.33, 4 Sr 3.48
Ag 0.3756 0.3756 0.3756  6 Ag 2.82-2.85
Ag 0.3756 0.3756 0.8731  6 Ag 2.82-2.85
Ag 0.3756 0.8731 0.3756  6 Ag 2.82-2.85
Ag 0.8731 0.3756 0.3756  6 Ag 2.82-2.85

***

# 4
Crystalline Sr2ZnAg6 at its relaxed geometry. Source: Alexandria, functional PBE-GGA.

Cell: 6.2130 6.2130 6.1408 Å, 90.05 90.05 60.05°
With the nearest neighbours (Å) after each atom.
Fractional positions:
Sr 0.1668 0.1668 0.3395  12 Ag 3.26-3.60
Sr 0.8332 0.8332 0.6605  12 Ag 3.26-3.60
Zn 0.5000 0.5000 0.5000  6 Ag 2.73-2.74
Ag 0.1502 0.6750 0.1766  1 Zn 2.74, 4 Ag 2.87-2.96
Ag 0.3250 0.8498 0.8234  1 Zn 2.74, 4 Ag 2.87-2.96
Ag 0.3257 0.3257 0.8233  1 Zn 2.73, 4 Ag 2.87-2.96
Ag 0.6743 0.6743 0.1767  1 Zn 2.73, 4 Ag 2.87-2.96
Ag 0.6750 0.1502 0.1766  1 Zn 2.74, 4 Ag 2.87-2.96
Ag 0.8498 0.3250 0.8234  1 Zn 2.74, 4 Ag 2.87-2.96

***

# 5
Crystalline SrZn4Ag8 at its relaxed geometry. Source: Alexandria, functional PBE-GGA.

Cell: 7.2105 7.2105 7.2105 Å, 97.95 97.95 136.34°
With the nearest neighbours (Å) after each atom.
Fractional positions:
Sr 0.0000 0.0000 0.0000  12 Ag 3.31-3.40, 8 Zn 3.61
Zn 0.0000 0.0000 0.5000  2 Zn 2.68, 8 Ag 2.73-2.88
Zn 0.0000 0.5000 0.0000  2 Zn 2.68, 8 Ag 2.73-2.88
Zn 0.5000 0.0000 0.0000  2 Zn 2.68, 8 Ag 2.73-2.88
Zn 0.5000 0.5000 0.5000  2 Zn 2.68, 8 Ag 2.73-2.88
Ag 0.0000 0.3492 0.3492  5 Ag 2.85-3.00, 4 Zn 2.88
Ag 0.0000 0.6508 0.6508  5 Ag 2.85-3.00, 4 Zn 2.88
Ag 0.2786 0.5000 0.7786  4 Zn 2.73, 6 Ag 2.94-3.00
Ag 0.3492 0.0000 0.3492  5 Ag 2.85-3.00, 4 Zn 2.88
Ag 0.5000 0.2786 0.7786  4 Zn 2.73, 6 Ag 2.94-3.00
Ag 0.5000 0.7214 0.2214  4 Zn 2.73, 6 Ag 2.94-3.00
Ag 0.6508 0.0000 0.6508  5 Ag 2.85-3.00, 4 Zn 2.88
Ag 0.7214 0.5000 0.2214  4 Zn 2.73, 6 Ag 2.94-3.00

***

# 6
Crystalline SrZnAg2 at its relaxed geometry. Source: Alexandria, functional PBE-GGA.

Cell: 3.9912 4.6599 5.5566 Å, 90.00 90.09 90.00°
With the nearest neighbours (Å) after each atom.
Fractional positions:
Sr 0.0000 0.0000 0.0000  8 Ag 3.37, 4 Zn 3.42
Zn 0.5000 0.0000 0.5000  4 Ag 2.71
Ag 0.4992 0.5000 0.7484  2 Zn 2.71, 2 Ag 2.76-2.80
Ag 0.5008 0.5000 0.2516  2 Zn 2.71, 2 Ag 2.76-2.80

***

| no. | density of states at the Fermi level (states/eV/atom) | energy of formation from the pure elements (eV per atom) | total energy (eV/atom) |
| --- | --- | --- | --- |
| 1 | 0.362 | -0.191 | -2.02 |
| 2 | 0.638 | -0.258 | -1.93 |
| 3 | 0.862 | -0.091 | -2.48 |
| 4 | 0.341 | -0.190 | -2.61 |
| 5 | 0.399 | -0.128 | -2.40 |
| 6 | 0.532 | -0.117 | -2.28 |